Entry 1:
# LiGeSbOs

Crystalline LiGeSbOs at its relaxed geometry (GGA-PBE, OQMD via LeMat-Bulk).

Geometry as POSCAR:
```
LiGeSbOs
1.0
0.0518 -1.0713 4.4396
2.2197 2.6695 2.9676
-2.3455 2.5353 2.9885
Ge Os Li Sb
1 1 1 1
Cartesian
-0.0185 1.0333 2.5989
0.0000 0.0000 0.0000
-0.0555 3.1000 7.7967
-0.0370 2.0667 5.1978
```

## Properties
The calculation puts the total magnetization at 0.0 μB per cell. The space group is F-43m, No. 216. As for the distance to the lowest polymorph of the same formula: 0.484 eV per atom. As for the volume: 67 Å³ per cell.

=====

Entry 2:
# Li2Ta2SiGeOs2

Crystalline Li2Ta2SiGeOs2 at its relaxed geometry (GGA-PBE, OQMD via LeMat-Bulk).

Geometry as POSCAR:
```
Li2Ta2SiGeOs2
1.0
4.3160 0.0000 0.0000
0.0000 4.3160 0.0000
0.0000 0.0000 6.1042
Os Ta Li Si Ge
2 2 2 1 1
Cartesian
2.1580 0.0000 4.5520
0.0000 2.1580 1.5522
0.0000 0.0000 3.0521
2.1580 2.1580 0.0000
0.0000 2.1580 4.5739
2.1580 0.0000 1.5303
2.1580 2.1580 3.0521
0.0000 0.0000 0.0000
```

## Properties
The calculation puts the total magnetization at 0.0 μB per cell. The space group is P-4m2, No. 115. The calculation puts the total energy at -63.3 eV per cell. As for the volume: 114 Å³ per cell.